Entry 1:
## ScPt3C (GGA-PBE)

Data for an optimized crystal structure of ScPt3C.

Cell and atoms, written as CIF:
```
data_ScPt3C
_cell_length_a 4.245
_cell_length_b 4.245
_cell_length_c 4.245
_cell_angle_alpha 90.00
_cell_angle_beta 90.00
_cell_angle_gamma 90.00
_symmetry_space_group_name_H-M 'P 1'
_symmetry_Int_Tables_number 1
loop_
_symmetry_equiv_pos_as_xyz
'x,y,z'
loop_
_atom_site_label
_atom_site_fract_x
_atom_site_fract_y
_atom_site_fract_z
Pt1 0.000 0.500 0.000
Pt2 0.000 0.000 0.500
Pt3 0.500 0.000 0.000
C1 0.000 0.000 0.000
Sc1 0.500 0.500 0.500
```

Summary:
- DFT total energy (eV per atom) = -6.924
- size of the total moment (μB/f.u.) = 0.00
- ΔH_f (0 K) (eV per atom) = -0.19


Entry 2:
## Sc2PtC2 (GGA-PBE)

Data for an optimized crystal structure of Sc2PtC2.

Cell and atoms, written as CIF:
```
data_Sc2PtC2
_cell_length_a 3.147
_cell_length_b 3.147
_cell_length_c 7.355
_cell_angle_alpha 77.65
_cell_angle_beta 77.65
_cell_angle_gamma 90.00
_symmetry_space_group_name_H-M 'P 1'
_symmetry_Int_Tables_number 1
loop_
_symmetry_equiv_pos_as_xyz
'x,y,z'
loop_
_atom_site_label
_atom_site_fract_x
_atom_site_fract_y
_atom_site_fract_z
C1 0.750 0.250 0.500
C2 0.250 0.750 0.500
Pt1 0.000 0.000 0.000
Sc1 0.366 0.366 0.268
Sc2 0.634 0.634 0.732
```

Summary:
- DFT total energy (eV per atom) = -7.248
- size of the total moment (μB/f.u.) = 0.00
- ΔH_f (0 K) (eV per atom) = 0.18


Entry 3:
## Sc2PtC2 (GGA-PBE)

Data for an optimized crystal structure of Sc2PtC2.

Cell and atoms, written as CIF:
```
data_Sc2PtC2
_cell_length_a 6.881
_cell_length_b 6.881
_cell_length_c 2.857
_cell_angle_alpha 90.00
_cell_angle_beta 90.00
_cell_angle_gamma 90.00
_symmetry_space_group_name_H-M 'P 1'
_symmetry_Int_Tables_number 1
loop_
_symmetry_equiv_pos_as_xyz
'x,y,z'
loop_
_atom_site_label
_atom_site_fract_x
_atom_site_fract_y
_atom_site_fract_z
C1 0.830 0.330 0.500
C2 0.330 0.170 0.500
C3 0.170 0.670 0.500
C4 0.670 0.830 0.500
Sc1 0.646 0.146 0.000
Sc2 0.146 0.354 0.000
Sc3 0.854 0.646 0.000
Sc4 0.354 0.854 0.000
Pt1 0.500 0.500 0.000
Pt2 0.000 0.000 0.000
```

Summary:
- DFT total energy (eV per atom) = -6.948
- size of the total moment (μB/f.u.) = 0.00
- ΔH_f (0 K) (eV per atom) = 0.48


Entry 4:
## Sc6Pt3C (GGA-PBE)

Data for an optimized crystal structure of Sc6Pt3C.

Cell and atoms, written as CIF:
```
data_Sc6Pt3C
_cell_length_a 6.241
_cell_length_b 6.923
_cell_length_c 9.088
_cell_angle_alpha 90.00
_cell_angle_beta 84.71
_cell_angle_gamma 90.00
_symmetry_space_group_name_H-M 'P 1'
_symmetry_Int_Tables_number 1
loop_
_symmetry_equiv_pos_as_xyz
'x,y,z'
loop_
_atom_site_label
_atom_site_fract_x
_atom_site_fract_y
_atom_site_fract_z
Pt1 0.045 0.598 0.258
Pt2 0.500 0.500 0.000
Pt3 0.000 0.000 0.500
Pt4 0.545 0.902 0.758
Pt5 0.955 0.402 0.742
Pt6 0.455 0.098 0.242
Sc1 0.195 0.340 0.448
Sc2 0.855 0.702 0.935
Sc3 0.805 0.660 0.552
Sc4 0.305 0.840 0.052
Sc5 0.360 0.545 0.735
Sc6 0.860 0.955 0.235
Sc7 0.355 0.798 0.435
Sc8 0.640 0.455 0.265
Sc9 0.695 0.160 0.948
Sc10 0.645 0.202 0.565
Sc11 0.145 0.298 0.065
Sc12 0.140 0.045 0.765
C1 0.500 0.500 0.500
C2 0.000 0.000 0.000
```

Summary:
- DFT total energy (eV per atom) = -7.413
- size of the total moment (μB/f.u.) = 0.00
- ΔH_f (0 K) (eV per atom) = -0.88


Entry 5:
## ScPtC3 (GGA-PBE)

Data for an optimized crystal structure of ScPtC3.

Cell and atoms, written as CIF:
```
data_ScPtC3
_cell_length_a 4.021
_cell_length_b 4.021
_cell_length_c 4.021
_cell_angle_alpha 90.00
_cell_angle_beta 90.00
_cell_angle_gamma 90.00
_symmetry_space_group_name_H-M 'P 1'
_symmetry_Int_Tables_number 1
loop_
_symmetry_equiv_pos_as_xyz
'x,y,z'
loop_
_atom_site_label
_atom_site_fract_x
_atom_site_fract_y
_atom_site_fract_z
Pt1 0.000 0.000 0.000
C1 0.000 0.000 0.500
C2 0.500 0.000 0.000
C3 0.000 0.500 0.000
Sc1 0.500 0.500 0.500
```

Summary:
- DFT total energy (eV per atom) = -6.198
- size of the total moment (μB/f.u.) = 0.00
- ΔH_f (0 K) (eV per atom) = 1.81


Entry 6:
## Sc4PtC2 (GGA-PBE)

Data for an optimized crystal structure of Sc4PtC2.

Cell and atoms, written as CIF:
```
data_Sc4PtC2
_cell_length_a 3.417
_cell_length_b 5.876
_cell_length_c 11.869
_cell_angle_alpha 90.00
_cell_angle_beta 90.00
_cell_angle_gamma 106.90
_symmetry_space_group_name_H-M 'P 1'
_symmetry_Int_Tables_number 1
loop_
_symmetry_equiv_pos_as_xyz
'x,y,z'
loop_
_atom_site_label
_atom_site_fract_x
_atom_site_fract_y
_atom_site_fract_z
Sc1 0.931 0.862 0.750
Sc2 0.764 0.528 0.396
Sc3 0.500 0.000 0.000
Sc4 0.764 0.528 0.104
Sc5 0.069 0.138 0.250
Sc6 0.236 0.472 0.896
Sc7 0.236 0.472 0.604
Sc8 0.500 0.000 0.500
C1 0.134 0.268 0.437
C2 0.866 0.732 0.937
C3 0.866 0.732 0.563
C4 0.134 0.268 0.063
Pt1 0.615 0.230 0.750
Pt2 0.385 0.770 0.250
```

Summary:
- DFT total energy (eV per atom) = -7.758
- size of the total moment (μB/f.u.) = 1.02
- ΔH_f (0 K) (eV per atom) = -0.64


Entry 7:
## Sr2ScPtC (GGA-PBE)

Data for an optimized crystal structure of Sr2ScPtC.

Cell and atoms, written as CIF:
```
data_Sr2ScPtC
_cell_length_a 6.269
_cell_length_b 4.687
_cell_length_c 6.269
_cell_angle_alpha 90.00
_cell_angle_beta 90.00
_cell_angle_gamma 90.00
_symmetry_space_group_name_H-M 'P 1'
_symmetry_Int_Tables_number 1
loop_
_symmetry_equiv_pos_as_xyz
'x,y,z'
loop_
_atom_site_label
_atom_site_fract_x
_atom_site_fract_y
_atom_site_fract_z
Sr1 0.000 0.000 0.500
Sr2 0.500 0.000 0.000
Pt1 0.000 0.500 0.000
C1 0.500 0.500 0.500
Sc1 0.000 0.000 0.000
```

Summary:
- DFT total energy (eV per atom) = -3.587
- size of the total moment (μB/f.u.) = 0.67
- ΔH_f (0 K) (eV per atom) = 1.41


Entry 8:
## Sc2TiPtC (GGA-PBE)

Data for an optimized crystal structure of Sc2TiPtC.

Cell and atoms, written as CIF:
```
data_Sc2TiPtC
_cell_length_a 4.487
_cell_length_b 4.487
_cell_length_c 4.076
_cell_angle_alpha 90.00
_cell_angle_beta 90.00
_cell_angle_gamma 90.00
_symmetry_space_group_name_H-M 'P 1'
_symmetry_Int_Tables_number 1
loop_
_symmetry_equiv_pos_as_xyz
'x,y,z'
loop_
_atom_site_label
_atom_site_fract_x
_atom_site_fract_y
_atom_site_fract_z
C1 0.000 0.000 0.000
Pt1 0.500 0.500 0.500
Sc1 0.500 0.000 0.000
Sc2 0.000 0.500 0.000
Ti1 0.000 0.000 0.500
```

Summary:
- DFT total energy (eV per atom) = -7.866
- size of the total moment (μB/f.u.) = 0.00
- ΔH_f (0 K) (eV per atom) = -0.70


Entry 9:
## ScV2PtC (GGA-PBE)

Data for an optimized crystal structure of ScV2PtC.

Cell and atoms, written as CIF:
```
data_ScV2PtC
_cell_length_a 4.679
_cell_length_b 5.074
_cell_length_c 4.679
_cell_angle_alpha 90.00
_cell_angle_beta 90.00
_cell_angle_gamma 90.00
_symmetry_space_group_name_H-M 'P 1'
_symmetry_Int_Tables_number 1
loop_
_symmetry_equiv_pos_as_xyz
'x,y,z'
loop_
_atom_site_label
_atom_site_fract_x
_atom_site_fract_y
_atom_site_fract_z
C1 0.500 0.500 0.500
Pt1 0.000 0.000 0.000
Sc1 0.000 0.500 0.000
V1 0.500 0.000 0.000
V2 0.000 0.000 0.500
```

Summary:
- DFT total energy (eV per atom) = -6.316
- size of the total moment (μB/f.u.) = 3.24
- ΔH_f (0 K) (eV per atom) = 1.65


Entry 10:
## YSc2PtC (GGA-PBE)

Data for an optimized crystal structure of YSc2PtC.

Cell and atoms, written as CIF:
```
data_YSc2PtC
_cell_length_a 4.393
_cell_length_b 4.393
_cell_length_c 4.950
_cell_angle_alpha 90.00
_cell_angle_beta 90.00
_cell_angle_gamma 90.00
_symmetry_space_group_name_H-M 'P 1'
_symmetry_Int_Tables_number 1
loop_
_symmetry_equiv_pos_as_xyz
'x,y,z'
loop_
_atom_site_label
_atom_site_fract_x
_atom_site_fract_y
_atom_site_fract_z
Sc1 0.500 0.000 0.000
Sc2 0.000 0.500 0.000
C1 0.000 0.000 0.000
Y1 0.000 0.000 0.500
Pt1 0.500 0.500 0.500
```

Summary:
- DFT total energy (eV per atom) = -7.545
- size of the total moment (μB/f.u.) = 0.00
- ΔH_f (0 K) (eV per atom) = -0.67


Entry 11:
## Sc2ZnPtC (GGA-PBE)

Data for an optimized crystal structure of Sc2ZnPtC.

Cell and atoms, written as CIF:
```
data_Sc2ZnPtC
_cell_length_a 4.502
_cell_length_b 4.502
_cell_length_c 4.041
_cell_angle_alpha 90.00
_cell_angle_beta 90.00
_cell_angle_gamma 90.00
_symmetry_space_group_name_H-M 'P 1'
_symmetry_Int_Tables_number 1
loop_
_symmetry_equiv_pos_as_xyz
'x,y,z'
loop_
_atom_site_label
_atom_site_fract_x
_atom_site_fract_y
_atom_site_fract_z
Sc1 0.500 0.000 0.000
Sc2 0.000 0.500 0.000
C1 0.000 0.000 0.000
Pt1 0.000 0.000 0.500
Zn1 0.500 0.500 0.500
```

Summary:
- DFT total energy (eV per atom) = -6.341
- size of the total moment (μB/f.u.) = 0.00
- ΔH_f (0 K) (eV per atom) = -0.50


Entry 12:
## Sc2ZnPtC (GGA-PBE)

Data for an optimized crystal structure of Sc2ZnPtC.

Cell and atoms, written as CIF:
```
data_Sc2ZnPtC
_cell_length_a 4.526
_cell_length_b 4.526
_cell_length_c 3.888
_cell_angle_alpha 90.00
_cell_angle_beta 90.00
_cell_angle_gamma 90.00
_symmetry_space_group_name_H-M 'P 1'
_symmetry_Int_Tables_number 1
loop_
_symmetry_equiv_pos_as_xyz
'x,y,z'
loop_
_atom_site_label
_atom_site_fract_x
_atom_site_fract_y
_atom_site_fract_z
Sc1 0.500 0.000 0.000
Sc2 0.000 0.500 0.000
C1 0.000 0.000 0.000
Pt1 0.500 0.500 0.500
Zn1 0.000 0.000 0.500
```

Summary:
- DFT total energy (eV per atom) = -6.383
- size of the total moment (μB/f.u.) = 0.00
- ΔH_f (0 K) (eV per atom) = -0.54